# 1
Compound: BIOF2
Source: Alexandria
Functional: PBE
Structure: relaxed

Structure (CIF):
```
data_BIOF2
_chemical_formula_sum 'B1 I1 O1 F2'
_space_group_name_H-M_alt 'P 4/m m m'
_space_group_IT_number 123
_space_group_name_Hall '-P 4 2'
_cell_length_a 4.7758
_cell_length_b 4.7758
_cell_length_c 4.0335
_cell_angle_alpha 90.00
_cell_angle_beta 90.00
_cell_angle_gamma 90.00
loop_
_atom_site_label
_atom_site_fract_x
_atom_site_fract_y
_atom_site_fract_z
B1 0.0000 0.0000 0.0000
I1 0.5000 0.5000 0.5000
O1 0.5000 0.5000 0.0000
F1 0.0000 0.5000 0.5000
```

Fermi-level density of states = 0.536 states/eV/atom
Uncorrected energy = -14.7 eV per formula unit
Offset from the most stable computed form = 3.70 eV/f.u.
Magnetization = 0.0 Bohr magnetons per cell

---

# 2
Compound: TlGaBi2Pt
Source: Alexandria
Functional: PBE
Structure: relaxed

Structure (CIF):
```
data_TlGaBi2Pt
_chemical_formula_sum 'Tl1 Ga1 Bi2 Pt1'
_space_group_name_H-M_alt 'P 4/m m m'
_space_group_IT_number 123
_space_group_name_Hall '-P 4 2'
_cell_length_a 5.8392
_cell_length_b 5.8392
_cell_length_c 5.1064
_cell_angle_alpha 90.00
_cell_angle_beta 90.00
_cell_angle_gamma 90.00
loop_
_atom_site_label
_atom_site_fract_x
_atom_site_fract_y
_atom_site_fract_z
Tl1 0.0000 0.0000 0.0000
Ga1 0.5000 0.5000 0.5000
Bi1 0.0000 0.5000 0.0000
Pt1 0.0000 0.0000 0.5000
```

Fermi-level density of states = 0.873 states/eV/atom
Uncorrected energy = -15.0 eV per formula unit
Magnetization = 0.0 Bohr magnetons per cell
E_form = 842.9 meV per atom

---

# 3
Compound: Ba3Cu2Si2
Source: Alexandria
Functional: PBE
Structure: relaxed

Structure (CIF):
```
data_Ba3Cu2Si2
_chemical_formula_sum 'Ba6 Cu4 Si4'
_space_group_name_H-M_alt 'C 1 2/m 1'
_space_group_IT_number 12
_space_group_name_Hall '-C 2y'
_cell_length_a 11.9385
_cell_length_b 4.5011
_cell_length_c 9.2733
_cell_angle_alpha 90.00
_cell_angle_beta 120.79
_cell_angle_gamma 90.00
loop_
_atom_site_label
_atom_site_fract_x
_atom_site_fract_y
_atom_site_fract_z
Ba1 0.0000 0.0000 0.0000
Ba2 0.1715 0.0000 0.6307
Cu1 0.1959 0.5000 0.9408
Si1 0.0092 0.5000 0.2876
```

Fermi-level density of states = 0.722 states/eV/atom
Uncorrected energy = -25.4 eV per formula unit
Magnetization = 0.0 Bohr magnetons per cell